# CsBa2InIr, PBEsol geometry, DFT meta-GGA SCAN
# Crystal system   tetragonal
# Size of the total moment   0.0 Bohr magnetons per cell
# Final energy   -216.8 eV/cell
# Formation energy   0.91 eV per atom
data_CsBa2InIr
_cell_length_a 6.346
_cell_length_b 6.346
_cell_length_c 4.999
_cell_angle_alpha 90.00
_cell_angle_beta 90.00
_cell_angle_gamma 90.00
_space_group_name_H-M_alt 'P 4/m m m'
_space_group_IT_number 123
_space_group_name_Hall '-P 4 2'
loop_
_atom_site_label
_atom_site_fract_x
_atom_site_fract_y
_atom_site_fract_z
Cs1 0.000 0.000 0.000
Ba1 0.000 0.500 0.000
In1 0.500 0.500 0.500
Ir1 0.000 0.000 0.500